(1)
Material: ScTa2W
Method: DFT, GGA-PBE
State: optimized geometry

Unit cell a=5.504 b=5.504 c=2.765 alpha=90.00 beta=90.00 gamma=118.19
Atoms (fractional coordinates):
W 0.500 0.000 0.500
Ta 0.000 0.000 0.000
Ta 0.500 0.500 0.000
Sc 0.000 0.500 0.500

**E_tot**: -41.8 eV/cell
**Calculated formation energy**: 294 meV/atom
**Symmetry**: Cmmm


(2)
Material: PmHg2SO6
Method: DFT, GGA-PBE
State: optimized geometry

Unit cell a=5.609 b=5.609 c=5.678 alpha=60.40 beta=60.40 gamma=60.00
Atoms (fractional coordinates):
O 0.168 0.046 0.264
O 0.523 0.168 0.263
O 0.109 0.465 0.840
O 0.046 0.523 0.263
O 0.586 0.109 0.840
O 0.465 0.587 0.839
Hg 0.568 0.568 0.297
Hg 0.065 0.065 0.806
Pm 0.816 0.816 0.552
S 0.316 0.316 0.052

**E_tot**: -49.6 eV/cell
**Uncorrected formation energy**: -100 kJ per mole of atoms
**Symmetry**: R-3